# 1
## KCd12In4 (PBE-GGA)

Data for crystalline KCd12In4 at its relaxed geometry.

a b c (Å): 8.7609 8.7609 8.7609
angles (deg): 109.47 109.47 109.47
Closest atoms and distances in Å follow each position.
Fractional coordinates of all 17 atoms:
K1 0.0000 0.0000 0.0000  12 Cd 3.90
Cd1 0.1493 0.3558 0.5051  2 Cd 2.92-3.02, 2 In 2.93
Cd2 0.1493 0.6442 0.7934  2 Cd 2.92-3.02, 2 In 2.93
Cd3 0.2066 0.8507 0.3558  2 Cd 2.92-3.02, 2 In 2.93
Cd4 0.3558 0.2066 0.8507  2 Cd 2.92-3.02, 2 In 2.93
Cd5 0.3558 0.5051 0.1493  2 Cd 2.92-3.02, 2 In 2.93
Cd6 0.4949 0.8507 0.6442  2 Cd 2.92-3.02, 2 In 2.93
Cd7 0.5051 0.1493 0.3558  2 Cd 2.92-3.02, 2 In 2.93
Cd8 0.6442 0.4949 0.8507  2 Cd 2.92-3.02, 2 In 2.93
Cd9 0.6442 0.7934 0.1493  2 Cd 2.92-3.02, 2 In 2.93
Cd10 0.7934 0.1493 0.6442  2 Cd 2.92-3.02, 2 In 2.93
Cd11 0.8507 0.3558 0.2066  2 Cd 2.92-3.02, 2 In 2.93
Cd12 0.8507 0.6442 0.4949  2 Cd 2.92-3.02, 2 In 2.93
In1 0.0000 0.0000 0.5000  6 Cd 2.93
In2 0.0000 0.5000 0.0000  6 Cd 2.93
In3 0.5000 0.0000 0.0000  6 Cd 2.93
In4 0.5000 0.5000 0.5000  6 Cd 2.93

Results
The magnetic moment comes out at 0.00 μB/cell. The formation energy is 0.135 eV per atom. The calculation puts the density at 5.93 g cm⁻³. The calculated total energy comes out at -20.7 eV per formula unit.

# 2
## KCdIn2 (PBE-GGA)

Data for crystalline KCdIn2 at its relaxed geometry.

a b c (Å): 7.1101 7.1101 7.1101
angles (deg): 40.70 40.70 40.70
Closest atoms and distances in Å follow each position.
Fractional coordinates of all 4 atoms:
K1 0.0000 0.0000 0.0000  1 Cd 3.61, 6 In 3.66-3.72
Cd1 0.8151 0.8151 0.8151  6 In 2.92-3.11
In1 0.2110 0.2110 0.2110  3 Cd 3.11, 3 In 3.39
In2 0.4503 0.4503 0.4503  3 Cd 2.92

Results
The magnetic moment comes out at 0.00 μB/cell. The formation energy is -0.054 eV per atom. The calculation puts the density at 4.59 g cm⁻³. The calculated total energy comes out at -7.7 eV per formula unit.

Question: Among the records above, which one has the lowest formation energy?
Answer: KCdIn2

Question: Which formula does entry 1 have?
Answer: KCd12In4